# 1
# SrLiCaIr | the Alexandria database | GGA-PBE | optimized geometry
data_SrLiCaIr
_chemical_formula_sum 'Sr4 Li4 Ca4 Ir4'
_space_group_name_H-M_alt 'P 1'
_space_group_IT_number 1
_cell_length_a 7.2802
_cell_length_b 7.2802
_cell_length_c 7.2802
_cell_angle_alpha 90.00
_cell_angle_beta 90.00
_cell_angle_gamma 90.00
loop_
_space_group_symop_operation_xyz
'x,y,z'
loop_
_atom_site_label
_atom_site_fract_x
_atom_site_fract_y
_atom_site_fract_z
Sr1 0.0000 0.0000 0.0000
Sr2 0.0000 0.5000 0.5000
Sr3 0.5000 0.0000 0.5000
Sr4 0.5000 0.5000 0.0000
Li1 0.2500 0.2500 0.2500
Li2 0.2500 0.7500 0.7500
Li3 0.7500 0.2500 0.7500
Li4 0.7500 0.7500 0.2500
Ca1 0.0000 0.0000 0.5000
Ca2 0.0000 0.5000 0.0000
Ca3 0.5000 0.0000 0.0000
Ca4 0.5000 0.5000 0.5000
Ir1 0.2500 0.2500 0.7500
Ir2 0.2500 0.7500 0.2500
Ir3 0.7500 0.2500 0.2500
Ir4 0.7500 0.7500 0.7500
# Fermi-level density of states in states/eV per cell: 1.59
# SG: F-43m
# Calculated density in g/cm3: 5.63
# DFT total energy in eV per formula unit: -14.98
# Formation enthalpy at 0 K in eV/atom: -0.13



# 2
# Cu2PdS4 | the Alexandria database | GGA-PBE | optimized geometry
data_Cu2PdS4
_chemical_formula_sum 'Cu4 Pd2 S8'
_space_group_name_H-M_alt 'P 1'
_space_group_IT_number 1
_cell_length_a 4.7885
_cell_length_b 4.7885
_cell_length_c 11.3923
_cell_angle_alpha 90.00
_cell_angle_beta 90.00
_cell_angle_gamma 90.00
loop_
_space_group_symop_operation_xyz
'x,y,z'
loop_
_atom_site_label
_atom_site_fract_x
_atom_site_fract_y
_atom_site_fract_z
Cu1 0.0000 0.0000 0.1026
Cu2 0.0000 0.0000 0.8974
Cu3 0.5000 0.5000 0.3974
Cu4 0.5000 0.5000 0.6026
Pd1 0.0000 0.0000 0.5000
Pd2 0.5000 0.5000 0.0000
S1 0.0000 0.0000 0.2895
S2 0.0000 0.0000 0.7105
S3 0.0000 0.5000 0.0000
S4 0.0000 0.5000 0.5000
S5 0.5000 0.0000 0.0000
S6 0.5000 0.0000 0.5000
S7 0.5000 0.5000 0.2105
S8 0.5000 0.5000 0.7895
# Fermi-level density of states in states/eV per cell: 15.25
# Distance to the lowest polymorph of the same formula in kJ/mol of atoms: 51.7
# SG: I4/mmm
# Calculated density in g/cm3: 4.60
# DFT total energy in eV per formula unit: -27.09